Here is an optimized crystal structure of Sr3B2MoO8 from Alexandria. Energies are from PBE with a Hubbard U.

Values from the calculation:
V ... 12.09 Å³/atom
Magnetic moment ... 1.997 μB per formula unit
Space group ... P-3m1, No. 164
DFT total energy ... -7.1449 eV per atom

```
data_Sr3B2MoO8
_chemical_formula_sum 'Sr3 B2 Mo1 O8'
_cell_length_a 5.311
_cell_length_b 5.311
_cell_length_c 6.931
_cell_angle_alpha 90.00
_cell_angle_beta 90.00
_cell_angle_gamma 120.00
_space_group_name_H-M_alt 'P 1'
_space_group_IT_number 1
_space_group_name_Hall 'P 1'
loop_
_atom_site_label
_atom_site_type_symbol
_atom_site_fract_x
_atom_site_fract_y
_atom_site_fract_z
Sr1 Sr 0.000 0.000 0.000
Sr2 Sr 0.333 0.667 0.695
Sr3 Sr 0.667 0.333 0.305
B1 B 0.333 0.667 0.234
B2 B 0.667 0.333 0.766
Mo1 Mo 0.000 0.000 0.500
O1 O 0.178 0.356 0.319
O2 O 0.178 0.822 0.319
O3 O 0.333 0.667 0.033
O4 O 0.356 0.178 0.681
O5 O 0.644 0.822 0.319
O6 O 0.667 0.333 0.967
O7 O 0.822 0.178 0.681
O8 O 0.822 0.644 0.681
```